1:
7
Lattice="5.997 0.000 0.000 0.000 6.132 0.000 0.000 -3.066 6.549" Properties=species:S:1:pos:R:3 comment="Pm4Sm2Ho | Alexandria | PBE-GGA | relaxed" density_g_cm3=7.2 crystal_system=orthorhombic pbc="T T T"
Sm 2.998 3.066 5.122
Sm 2.998 0.000 1.427
Pm 2.998 3.066 1.807
Pm 0.000 0.000 2.504
Pm 0.000 3.066 4.045
Pm 2.998 0.000 4.742
Ho 0.000 3.066 0.000



2:
28
Lattice="5.388 0.000 0.000 0.000 11.423 0.000 0.000 0.000 15.607" Properties=species:S:1:pos:R:3 comment="Pm4Sm2Ho | Alexandria | PBE-GGA | relaxed" density_g_cm3=7.2 crystal_system=orthorhombic pbc="T T T"
Ho 2.694 0.000 0.000
Ho 0.000 5.712 0.000
Ho 0.000 0.000 7.803
Ho 2.694 5.712 7.803
Sm 2.693 10.210 10.242
Sm 0.001 4.498 10.242
Sm 2.693 6.925 2.439
Sm 2.695 4.498 13.168
Sm 5.386 10.210 13.168
Sm 5.386 6.925 5.365
Sm 0.001 1.213 2.439
Sm 2.695 1.213 5.365
Pm 2.691 4.564 4.780
Pm 5.386 3.366 6.707
Pm 2.693 3.366 1.096
Pm 2.691 1.147 12.583
Pm 0.003 6.859 12.583
Pm 5.385 1.147 10.827
Pm 0.003 10.276 4.780
Pm 2.697 10.276 3.023
Pm 5.385 4.564 3.023
Pm 0.001 8.057 8.899
Pm 2.693 2.345 8.899
Pm 0.001 9.078 1.096
Pm 2.695 8.057 14.511
Pm 2.697 6.859 10.827
Pm 5.386 2.345 14.511
Pm 2.695 9.078 6.707



The energy of each structure relative to the most stable one, in meV/atom, is as follows: 1 289; 2 0.